First-principles (GGA+U) data for a relaxed structure of ZnCoF3, as listed in Alexandria via LeMat-Bulk.

Fermi-level density of states: 14.02 states/eV per cell
Final energy: -3.77 eV/atom
Total magnetization: 2.65 μB per formula unit

Cell: 4.058 4.058 4.058 Å, 90.00 90.00 90.00°
Fractional positions:
1 Zn 0.000 0.000 0.000
2 Co 0.500 0.500 0.500
3 F 0.000 0.000 0.500
4 F 0.000 0.500 0.000
5 F 0.500 0.000 0.000